# 1
ScIrSe2 | meta-GGA SCAN | PBEsol geometry

Cell lengths 4.435, 4.435, 3.904 Å; angles 90.00, 90.00, 99.38 degrees
Sites, in units of the cell vectors:
Sc1 0.000 0.000 0.000
Ir1 0.500 0.500 0.000
Se1 0.277 0.723 0.500
Se2 0.723 0.277 0.500

Summary:
For the density of states at the Fermi level, the calculation gives 3.044 states/eV/f.u. Its relative energy among the computed polymorphs is 0.000 eV/atom. For the total moment, the calculation gives 0.0000 μB per atom. Its uncorrected formation energy is -197 kJ/mol of formula units.


# 2
KInMo2 | meta-GGA SCAN | PBEsol geometry

Cell lengths 5.965, 5.965, 2.710 Å; angles 99.42, 99.42, 121.77 degrees
Sites, in units of the cell vectors:
K1 0.000 0.000 0.000
In1 0.500 0.500 0.000
Mo1 0.000 0.500 0.500
Mo2 0.500 0.000 0.500

Summary:
For the density of states at the Fermi level, the calculation gives 3.763 states/eV/f.u. For the total moment, the calculation gives 0.0001 μB per atom. The calculation puts the energy relative to the elements at 1.235 eV per atom.


# 3
TbSn3 | meta-GGA SCAN | PBEsol geometry

Cell lengths 4.632, 4.632, 4.632 Å; angles 90.00, 90.00, 90.00 degrees
Sites, in units of the cell vectors:
Tb1 0.000 0.000 0.000
Sn1 0.000 0.500 0.500
Sn2 0.500 0.000 0.500
Sn3 0.500 0.500 0.000

Summary:
For the density of states at the Fermi level, the calculation gives 2.015 states/eV/f.u. For the total moment, the calculation gives 0.0000 μB per atom. The calculation puts the energy relative to the elements at -0.473 eV per atom.


# 4
ZrTaRe2 | meta-GGA SCAN | PBEsol geometry

Cell lengths 5.396, 5.396, 5.396 Å; angles 138.66, 138.66, 59.89 degrees
Sites, in units of the cell vectors:
Zr1 0.000 0.000 0.000
Ta1 0.250 0.750 0.500
Re1 0.500 0.500 0.000
Re2 0.750 0.250 0.500

Summary:
For the density of states at the Fermi level, the calculation gives 3.197 states/eV/f.u. For the total moment, the calculation gives 0.0000 μB per atom. The calculation puts the energy relative to the elements at 0.012 eV per atom.


# 5
BaLaAg2 | meta-GGA SCAN | PBEsol geometry

Cell lengths 4.933, 6.269, 6.269 Å; angles 38.65, 90.00, 90.00 degrees
Sites, in units of the cell vectors:
Ba1 0.000 0.000 0.000
La1 0.500 0.279 0.279
Ag1 0.000 0.720 0.720
Ag2 0.500 0.580 0.580

Summary:
For the density of states at the Fermi level, the calculation gives 3.180 states/eV/f.u. For the total moment, the calculation gives 0.0000 μB per atom. The calculation puts the energy relative to the elements at -0.226 eV per atom.


# 6
ZrCdSeBr2 | meta-GGA SCAN | PBEsol geometry

Cell lengths 5.155, 5.155, 5.254 Å; angles 90.00, 90.00, 90.00 degrees
Sites, in units of the cell vectors:
Zr1 0.000 0.000 0.000
Cd1 0.500 0.500 0.500
Se1 0.500 0.500 0.000
Br1 0.000 0.500 0.500
Br2 0.500 0.000 0.500

Summary:
For the density of states at the Fermi level, the calculation gives 1.101 states/eV/f.u. For the total moment, the calculation gives 0.3998 μB per atom. Its uncorrected formation energy is -22 kJ/mol of formula units.


# 7
YFe2Tc | meta-GGA SCAN | PBEsol geometry

Cell lengths 3.256, 4.238, 4.353 Å; angles 90.00, 90.00, 90.00 degrees
Sites, in units of the cell vectors:
Y1 0.000 0.000 0.000
Fe1 0.000 0.500 0.500
Fe2 0.500 0.500 0.000
Tc1 0.500 0.000 0.500

Summary:
For the density of states at the Fermi level, the calculation gives 5.337 states/eV/f.u. Its relative energy among the computed polymorphs is 0.000 eV/atom. For the total moment, the calculation gives 1.3794 μB per atom. The calculation puts the energy relative to the elements at 0.424 eV per atom.


# 8
YIr2Rh | meta-GGA SCAN | PBEsol geometry

Cell lengths 4.528, 4.528, 4.528 Å; angles 60.00, 60.00, 60.00 degrees
Sites, in units of the cell vectors:
Y1 0.000 0.000 0.000
Ir1 0.250 0.250 0.250
Ir2 0.500 0.500 0.500
Rh1 0.750 0.750 0.750

Summary:
For the density of states at the Fermi level, the calculation gives 3.851 states/eV/f.u. Its relative energy among the computed polymorphs is 0.260 eV/atom. For the total moment, the calculation gives 0.4697 μB per atom. The calculation puts the energy relative to the elements at -0.073 eV per atom.


# 9
Cs2H4Pt | meta-GGA SCAN | PBEsol geometry

Cell lengths 6.075, 6.075, 8.550 Å; angles 90.00, 90.00, 90.00 degrees
Sites, in units of the cell vectors:
Cs1 0.000 0.500 0.250
Cs2 0.000 0.500 0.750
Cs3 0.500 0.000 0.250
Cs4 0.500 0.000 0.750
H1 0.000 0.000 0.193
H2 0.000 0.000 0.807
H3 0.192 0.192 0.000
H4 0.308 0.692 0.500
H5 0.500 0.500 0.307
H6 0.500 0.500 0.693
H7 0.692 0.308 0.500
H8 0.808 0.808 0.000
Pt1 0.000 0.000 0.000
Pt2 0.500 0.500 0.500

Summary:
For the density of states at the Fermi level, the calculation gives 0.000 states/eV/f.u. For the total moment, the calculation gives 0.0009 μB per atom. Its total energy is -23.32 eV per atom.


# 10
LaCd2Fe | meta-GGA SCAN | PBEsol geometry

Cell lengths 3.232, 3.232, 8.024 Å; angles 90.00, 90.00, 90.00 degrees
Sites, in units of the cell vectors:
La1 0.000 0.000 0.000
Cd1 0.000 0.000 0.431
Cd2 0.500 0.500 0.677
Fe1 0.500 0.500 0.247

Summary:
For the density of states at the Fermi level, the calculation gives 2.192 states/eV/f.u. For the total moment, the calculation gives 0.5792 μB per atom. The calculation puts the energy relative to the elements at 0.079 eV per atom.


# 11
AlCu2TcBi | meta-GGA SCAN | PBEsol geometry

Cell lengths 4.388, 4.388, 5.297 Å; angles 90.00, 90.00, 90.00 degrees
Sites, in units of the cell vectors:
Al1 0.000 0.000 0.000
Cu1 0.000 0.500 0.000
Cu2 0.500 0.000 0.000
Tc1 0.500 0.500 0.500
Bi1 0.000 0.000 0.500

Summary:
For the density of states at the Fermi level, the calculation gives 2.591 states/eV/f.u. For the total moment, the calculation gives 0.7381 μB per atom. The calculation puts the energy relative to the elements at 1.197 eV per atom.


# 12
Ta3TiSi | meta-GGA SCAN | PBEsol geometry

Cell lengths 4.593, 4.593, 4.593 Å; angles 90.00, 90.00, 90.00 degrees
Sites, in units of the cell vectors:
Ta1 0.000 0.000 0.500
Ta2 0.000 0.500 0.000
Ta3 0.500 0.000 0.000
Ti1 0.000 0.000 0.000
Si1 0.500 0.500 0.500

Summary:
For the density of states at the Fermi level, the calculation gives 2.950 states/eV/f.u. For the total moment, the calculation gives 0.0000 μB per atom. Its uncorrected formation energy is 755 kJ/mol of formula units.


Copy entry 7 word for word.
YFe2Tc | meta-GGA SCAN | PBEsol geometry

Cell lengths 3.256, 4.238, 4.353 Å; angles 90.00, 90.00, 90.00 degrees
Sites, in units of the cell vectors:
Y1 0.000 0.000 0.000
Fe1 0.000 0.500 0.500
Fe2 0.500 0.500 0.000
Tc1 0.500 0.000 0.500

Summary:
For the density of states at the Fermi level, the calculation gives 5.337 states/eV/f.u. Its relative energy among the computed polymorphs is 0.000 eV/atom. For the total moment, the calculation gives 1.3794 μB per atom. The calculation puts the energy relative to the elements at 0.424 eV per atom.


Please write out number 2 again, unchanged.
KInMo2 | meta-GGA SCAN | PBEsol geometry

Cell lengths 5.965, 5.965, 2.710 Å; angles 99.42, 99.42, 121.77 degrees
Sites, in units of the cell vectors:
K1 0.000 0.000 0.000
In1 0.500 0.500 0.000
Mo1 0.000 0.500 0.500
Mo2 0.500 0.000 0.500

Summary:
For the density of states at the Fermi level, the calculation gives 3.763 states/eV/f.u. For the total moment, the calculation gives 0.0001 μB per atom. The calculation puts the energy relative to the elements at 1.235 eV per atom.


Question: The highest total moment belongs to which entry?
Answer: YFe2Tc